1.
A geometry-optimized Ac2NdHo structure, computed with PBE.

## Properties
Excess energy over the best structure of this formula in the dataset: 6 meV per atom
E_form: 1.03 kcal/mol of atoms

```
4
Lattice="-0.659 0.156 3.818 3.726 -0.834 0.677 2.245 10.011 -0.021" Properties=species:S:1:pos:R:3 pbc="T T T"
Ac 0.549 2.447 -0.005
Ho 1.533 -0.339 2.247
Nd 2.656 4.666 2.237
Ac 1.697 7.564 -0.016
```

2.
A geometry-optimized Ac2Nd6Ho structure, computed with PBE.

## Properties
Excess energy over the best structure of this formula in the dataset: 7 meV per atom
E_form: 1.99 kcal/mol of atoms

```
18
Lattice="8.910 -0.852 2.740 3.338 7.717 4.036 1.020 -0.852 9.266" Properties=species:S:1:pos:R:3 pbc="T T T"
Nd 3.373 3.571 5.532
Ac 5.685 4.550 8.139
Nd 9.035 -0.299 12.202
Nd 1.309 2.453 2.861
Nd 10.135 6.301 13.709
Nd 11.675 5.960 10.021
Nd 11.959 3.560 13.181
Ac 8.009 5.322 10.949
Nd 3.132 -0.288 2.333
Nd 5.984 2.101 11.330
Ho 9.496 4.936 7.352
Ac 7.583 1.463 7.903
Nd 4.233 6.312 3.840
Ho 3.771 1.077 8.689
Nd 9.895 2.442 10.509
Nd 1.592 0.053 6.021
Nd 7.284 3.912 4.712
Ac 5.259 0.691 5.093
```

3.
A geometry-optimized AcNdHo2 structure, computed with PBE.

## Properties
Excess energy over the best structure of this formula in the dataset: 66 meV per atom
E_form: 2.57 kcal/mol of atoms

```
4
Lattice="-4.173 2.747 -3.062 -2.445 -2.628 -4.632 -5.548 -1.866 0.280" Properties=species:S:1:pos:R:3 pbc="T T T"
Nd -6.083 -0.873 -3.707
Ac 0.000 0.000 0.000
Ho -3.041 -0.436 -1.854
Ho -9.124 -1.309 -5.561
```

4.
A geometry-optimized AcNd2Ho4 structure, computed with PBE.

## Properties
Excess energy over the best structure of this formula in the dataset: 0 meV per atom
E_form: 0.90 kcal/mol of atoms

```
14
Lattice="-0.527 6.486 5.646 -1.735 -4.492 8.475 7.084 0.801 -6.115" Properties=species:S:1:pos:R:3 pbc="T T T"
Ho 5.047 3.050 -1.557
Nd 2.798 4.201 0.962
Ho 3.930 4.332 4.503
Ac 5.862 0.157 -3.643
Ho -1.407 -2.794 8.385
Nd 3.660 0.679 0.826
Ho 0.132 2.521 11.516
Ho 4.741 0.872 4.392
Ho 0.510 4.706 5.443
Ho -0.011 -0.485 5.962
Nd -0.894 2.277 7.978
Nd 1.377 1.970 3.453
Ho 2.545 2.020 6.858
Ac 2.225 -1.594 3.320
```

5.
A geometry-optimized Ac6Nd2Ho structure, computed with PBE.

## Properties
E_form: 4.59 kcal/mol of atoms

```
18
Lattice="7.689 0.000 0.000 0.000 7.537 -2.891 0.000 -0.998 13.592" Properties=species:S:1:pos:R:3 pbc="T T T"
Ac 1.855 1.870 0.727
Nd 0.001 4.015 3.101
Nd 3.845 6.793 -0.641
Ac 0.000 5.876 -0.115
Ac 1.991 1.400 4.625
Ac 3.844 1.609 8.126
Nd 3.844 -0.253 11.342
Ac 5.834 4.670 9.975
Ac 5.699 1.400 4.624
Ac 3.845 4.931 2.575
Nd 7.688 2.525 7.600
Ac 1.989 5.139 6.077
Ac 5.698 5.139 6.076
Ac 7.688 0.663 10.817
Ac 5.835 1.870 0.725
Ac 1.854 4.670 9.976
Ho 3.844 3.769 -1.445
Ho 0.000 -0.499 6.796
```

6.
A geometry-optimized AcNdHo2 structure, computed with PBE.

## Properties
Excess energy over the best structure of this formula in the dataset: 19 meV per atom
E_form: 1.47 kcal/mol of atoms

```
4
Lattice="3.705 0.000 0.000 1.852 3.208 0.000 1.852 1.069 11.887" Properties=species:S:1:pos:R:3 pbc="T T T"
Ac 3.705 2.139 5.931
Ho 1.852 1.069 9.025
Nd 3.705 2.139 0.008
Ho 1.852 1.069 2.867
```

7.
A geometry-optimized AcNd5Ho structure, computed with PBE.

## Properties
E_form: 2.04 kcal/mol of atoms

```
14
Lattice="-3.635 -0.653 -5.685 4.250 -5.160 -1.129 -7.372 -3.610 9.187" Properties=species:S:1:pos:R:3 pbc="T T T"
Ho -1.606 -3.769 -1.151
Nd 0.643 -6.023 -3.040
Nd -7.828 -4.124 1.977
Nd -5.736 -6.390 6.898
Nd -7.400 -3.400 5.413
Nd 1.071 -5.299 0.396
Nd -1.021 -3.033 -4.525
Ac -3.686 -1.805 4.594
Ac 0.000 0.000 0.000
Ho -5.151 -5.654 3.524
Nd -0.909 -3.198 2.440
Nd -5.848 -6.224 -0.067
Nd -4.341 -3.276 0.981
Nd -2.416 -6.147 1.392
```

8.
A geometry-optimized AcNd3Ho3 structure, computed with PBE.

## Properties
Excess energy over the best structure of this formula in the dataset: 0 meV per atom
E_form: 0.77 kcal/mol of atoms

```
28
Lattice="-6.312 -6.151 -6.546 3.403 -6.405 3.773 -7.573 -1.553 7.778" Properties=species:S:1:pos:R:3 pbc="T T T"
Ho -8.096 -9.474 0.901
Ho -4.554 -9.070 0.227
Ho -5.445 -4.235 -1.379
Ho -9.975 -6.702 2.174
Nd -5.928 -5.064 4.803
Ho -9.489 -5.482 5.526
Nd -5.538 -11.071 3.051
Ac -9.091 -11.443 3.777
Ac -6.010 -5.489 -4.787
Nd -0.956 -8.655 -0.528
Nd -6.488 -6.285 1.440
Nd -2.990 -5.880 0.691
Ho -3.980 -7.854 3.584
Ho -5.159 -10.333 -3.184
Ac -4.480 -8.602 9.763
Ho -4.961 -3.025 1.958
Nd -2.419 -4.619 4.131
Ho -4.267 -1.791 5.313
Nd -7.050 -7.531 -1.880
Ho -7.518 -8.212 4.289
Ho -3.406 -6.593 6.890
Nd -5.052 -9.842 6.388
Nd -3.499 -7.097 -2.663
Ho -6.984 -7.003 7.649
Nd -5.318 -3.779 8.182
Nd -0.490 -7.413 2.831
Ac -1.378 -2.675 1.213
Nd -6.227 -12.315 -0.295
```

Q: What is the E_form in the third record?
A: 2.57 kcal/mol of atoms

Q: Which of these has the highest E_form?
A: Ac6Nd2Ho

Q: What is the E_form in the second record?
A: 1.99 kcal/mol of atoms

Q: E_form of number 5 (Ac6Nd2Ho)?
A: 4.59 kcal/mol of atoms